[1]
## CaIn2Pt (PBE-GGA)

Data for a relaxed structure of CaIn2Pt.

```
4
Lattice="3.5917 0.0000 0.0000 0.0000 3.5917 0.0000 0.0000 0.0000 7.3314" Properties=species:S:1:pos:R:3 pbc="T T T"
Ca 0.0000 0.0000 0.0000
In 0.0000 0.0000 4.2289
In 1.7958 1.7958 2.2861
Pt 1.7958 1.7958 5.4589
```

Its formation energy from the elements is -436.1 meV/atom. The space-group type is No. 99.

=====

[2]
## Ce3YTm3Te8 (PBE-GGA)

Data for a relaxed structure of Ce3YTm3Te8.

```
15
Lattice="4.3620 2.5184 7.2358 -4.3620 2.5184 7.2358 0.0000 -5.0368 7.2358" Properties=species:S:1:pos:R:3 pbc="T T T"
Ce -2.1810 -1.2592 7.2358
Ce -2.1810 1.2592 14.4716
Ce 0.0000 2.5184 7.2358
Y 0.0000 0.0000 10.8537
Tm -4.3620 0.0000 10.8537
Tm -2.1810 1.2592 3.6179
Tm 2.1810 1.2592 3.6179
Te -2.2568 -1.3030 12.6101
Te 0.0000 0.0000 5.3171
Te 0.0000 -2.6060 9.0973
Te -2.2568 1.3030 9.0973
Te 2.2568 -1.3030 12.6102
Te 0.0000 2.6060 12.6102
Te 0.0000 0.0000 16.3903
Te 2.2568 1.3030 9.0972
```

The space-group type is No. 166. The value obtained for the uncorrected formation energy is -20.3 eV per formula unit.

=====

[3]
## TaCrIn2 (PBE-GGA)

Data for a relaxed structure of TaCrIn2.

```
4
Lattice="4.1762 0.0000 0.0000 0.0000 4.1762 0.0000 0.0000 0.0000 4.3050" Properties=species:S:1:pos:R:3 pbc="T T T"
Ta 0.0000 0.0000 0.0000
Cr 2.0881 2.0881 0.0000
In 0.0000 2.0881 2.1525
In 2.0881 0.0000 2.1525
```

Its formation energy from the elements is 366.9 meV/atom. The space-group type is No. 123. For the energy above the most stable polymorph in this dataset, the calculation gives 69 meV per atom.

=====

Number 1: calculated density 8.2 g/cm3. Number 2: calculated density 7.1 g/cm3. Number 3: calculated density 10.2 g/cm3.